Density functional theory data (PBE-GGA) for an optimized crystal structure of HoHg2Pd5.

a b c (Å): 7.595 7.595 7.595
angles (deg): 122.77 122.77 85.27
Atoms (fractional coordinates):
Ho (0.250, 0.250, 0.000)
Ho (0.750, 0.750, 0.000)
Hg (0.154, 0.654, 0.808)
Hg (0.346, 0.154, 0.500)
Hg (0.654, 0.846, 0.500)
Hg (0.846, 0.346, 0.192)
Pd (0.000, 0.000, 0.000)
Pd (0.025, 0.812, 0.500)
Pd (0.188, 0.688, 0.213)
Pd (0.312, 0.525, 0.500)
Pd (0.475, 0.975, 0.787)
Pd (0.500, 0.500, 0.000)
Pd (0.525, 0.025, 0.213)
Pd (0.688, 0.475, 0.500)
Pd (0.812, 0.312, 0.787)
Pd (0.975, 0.188, 0.500)

The total energy comes out at -4.292 eV per atom. The value obtained for the energy above the most stable polymorph in this dataset is 0.100 eV per atom. The formation enthalpy at 0 K comes out at -0.399 eV per atom. The total magnetization comes out at 0.0 μB/f.u. The density of states at the Fermi level is 0.29 states/eV/atom.

=====

Density functional theory data (PBE-GGA) for an optimized crystal structure of LaNb2VI.

a b c (Å): 5.114 5.114 4.633
angles (deg): 90.00 90.00 90.00
Atoms (fractional coordinates):
La (0.000, 0.000, 0.000)
Nb (0.000, 0.500, 0.000)
Nb (0.500, 0.000, 0.000)
V (0.000, 0.000, 0.500)
I (0.500, 0.500, 0.500)

The total energy comes out at -5.226 eV per atom. The formation energy (no corrections) is 185.4 kJ/mol of atoms. The total magnetization comes out at 0.0 μB/f.u. The density of states at the Fermi level is 1.51 states/eV/atom.